Record 1
The following is a PBE calculation of crystalline Al2CrRePb at its relaxed geometry, from Alexandria.

## Properties
Final energy = -30.29 eV/cell
DOS at the Fermi energy = 1.8 states/eV/f.u.
Space-group type = P4/mmm, No. 123
ΔH_f (0 K) = 596 meV per atom

Unit cell a=4.880 b=4.880 c=4.755 alpha=90.00 beta=90.00 gamma=90.00
Sites, in units of the cell vectors:
Al: 0.000 0.500 0.000
Al: 0.500 0.000 0.000
Cr: 0.000 0.000 0.500
Re: 0.000 0.000 0.000
Pb: 0.500 0.500 0.500

=====

Record 2
The following is a PBE calculation of crystalline Pm8Pr2Y3 at its relaxed geometry, from Alexandria.

## Properties
Final energy = -66.74 eV/cell
DOS at the Fermi energy = 20.6 states/eV/f.u.
Space-group type = P-1, No. 2
ΔH_f (0 K) = 17 meV per atom

Unit cell a=6.309 b=6.316 c=11.532 alpha=89.98 beta=79.46 gamma=80.41
Sites, in units of the cell vectors:
Pm: 0.038 0.078 0.348
Pm: 0.193 0.383 0.728
Pm: 0.347 0.692 0.118
Pm: 0.423 0.845 0.804
Pm: 0.577 0.155 0.196
Pm: 0.653 0.308 0.882
Pm: 0.807 0.617 0.272
Pm: 0.962 0.922 0.652
Pr: 0.116 0.230 0.040
Pr: 0.884 0.770 0.960
Y: 0.269 0.539 0.424
Y: 0.500 0.000 0.500
Y: 0.731 0.461 0.576

=====

Record 3
The following is a PBE calculation of crystalline ZrAlCr3 at its relaxed geometry, from Alexandria.

## Properties
Final energy = -35.86 eV/cell
DOS at the Fermi energy = 5.7 states/eV/f.u.
Space-group type = Pm-3m, No. 221
ΔH_f (0 K) = 1059 meV per atom

Unit cell a=4.468 b=4.468 c=4.468 alpha=90.00 beta=90.00 gamma=90.00
Sites, in units of the cell vectors:
Zr: 0.000 0.000 0.000
Al: 0.500 0.500 0.500
Cr: 0.000 0.500 0.500
Cr: 0.500 0.000 0.500
Cr: 0.500 0.500 0.000

=====

Record 4
The following is a PBE calculation of crystalline SmYErIn at its relaxed geometry, from Alexandria.

## Properties
Final energy = -19.55 eV/cell
DOS at the Fermi energy = 5.6 states/eV/f.u.
Space-group type = Pmmm, No. 47
ΔH_f (0 K) = -268 meV per atom

Unit cell a=4.842 b=4.862 c=4.903 alpha=90.00 beta=90.00 gamma=90.00
Sites, in units of the cell vectors:
Sm: 0.000 0.000 0.000
Y: 0.500 0.000 0.500
Er: 0.500 0.500 0.000
In: 0.000 0.500 0.500

=====

- What is the ΔH_f (0 K) in the second record?
  17 meV per atom